# 1
Below is a relaxed Pr3GePbBr crystal, with properties calculated at the GGA-PBE level.

Output
- V (Å³ per atom) = 32.0
- formation energy (no corrections) (eV per atom) = -0.867
- VASP energy (eV/atom) = -4.92
- total magnetic moment (Bohr magnetons per cell) = 0.00

Cell: 4.2871 7.7484 11.8335 Å, 102.22 90.00 90.00°
Element x y z (fractional)
Pr  0.2500  0.7219  0.5029
Pr  0.7500  0.0484  0.1440
Pr  0.7500  0.5448  0.1514
Pr  0.7500  0.2781  0.4971
Pr  0.2500  0.4552  0.8486
Pr  0.2500  0.9516  0.8560
Ge  0.2500  0.7682  0.0649
Ge  0.7500  0.2318  0.9351
Pb  0.7500  0.6476  0.6926
Pb  0.2500  0.3524  0.3074
Br  0.2500  0.1210  0.6335
Br  0.7500  0.8790  0.3665


# 2
Below is a relaxed Ta2AgS4 crystal, with properties calculated at the GGA-PBE level.

Output
- V (Å³ per atom) = 19.3
- formation energy (no corrections) (eV per atom) = -0.838
- VASP energy (eV/atom) = -6.99
- total magnetic moment (Bohr magnetons per cell) = 0.00

Cell: 3.3822 3.3822 13.6412 Å, 90.00 90.00 120.00°
Element x y z (fractional)
Ta  0.0000  0.0000  0.2366
Ta  0.0000  0.0000  0.7634
Ag  0.0000  0.0000  0.5000
S  0.6667  0.3333  0.3519
S  0.3333  0.6667  0.6481
S  0.3333  0.6667  0.8741
S  0.6667  0.3333  0.1259


# 3
Below is a relaxed PmGe3Ir3 crystal, with properties calculated at the GGA-PBE level.

Output
- V (Å³ per atom) = 22.0
- VASP energy (eV/atom) = -6.59
- DFT formation energy (eV per formula unit) = -0.94
- total magnetic moment (Bohr magnetons per cell) = 0.00
- energy above the lowest structure with this stoichiometry (kJ/mol of formula units) = 216

Cell: 6.7569 6.7569 6.7569 Å, 90.00 90.00 90.00°
Element x y z (fractional)
Ge  0.0000  0.2500  0.5000
Ge  0.0000  0.7500  0.5000
Ge  0.5000  0.0000  0.7500
Ge  0.7500  0.5000  0.0000
Ge  0.5000  0.0000  0.2500
Ge  0.2500  0.5000  0.0000
Ir  0.2500  0.0000  0.5000
Ir  0.0000  0.5000  0.2500
Ir  0.5000  0.7500  0.0000
Ir  0.7500  0.0000  0.5000
Ir  0.0000  0.5000  0.7500
Ir  0.5000  0.2500  0.0000
Pm  0.5000  0.5000  0.5000
Pm  0.0000  0.0000  0.0000


# 4
Below is a relaxed TiPtSCl2 crystal, with properties calculated at the GGA-PBE level.

Output
- V (Å³ per atom) = 22.3
- formation energy (no corrections) (eV per atom) = 0.162
- VASP energy (eV/atom) = -4.19
- total magnetic moment (Bohr magnetons per cell) = 2.04
- energy above the lowest structure with this stoichiometry (kJ/mol of formula units) = 132

Cell: 4.7885 4.7885 4.8731 Å, 90.00 90.00 90.00°
Each line ends with the local moment (μB).
Element x y z (fractional)
S  0.0000  0.0000  0.5000  -0.08
Cl  0.0000  0.5000  0.0000  -0.01
Cl  0.5000  0.0000  0.0000  -0.01
Pt  0.0000  0.0000  0.0000  -0.03
Ti  0.5000  0.5000  0.5000  1.87


# 5
Below is a relaxed AgP2W crystal, with properties calculated at the GGA-PBE level.

Output
- V (Å³ per atom) = 15.6
- VASP energy (eV/atom) = -6.32
- DFT formation energy (eV per formula unit) = 1.35
- total magnetic moment (Bohr magnetons per cell) = 0.00
- energy above the lowest structure with this stoichiometry (kJ/mol of formula units) = 121

Cell: 8.0195 8.0195 8.0195 Å, 21.81 21.81 21.81°
Element x y z (fractional)
Ag  0.7443  0.7443  0.7443
P  0.9899  0.9899  0.9899
P  0.2525  0.2525  0.2525
W  0.5132  0.5132  0.5132


# 6
Below is a relaxed Pm5Ho5Er crystal, with properties calculated at the GGA-PBE level.

Output
- V (Å³ per atom) = 33.7
- VASP energy (eV/atom) = -4.31
- DFT formation energy (eV per formula unit) = 3.82
- total magnetic moment (Bohr magnetons per cell) = 0.00

Cell: 6.1100 6.1100 11.4697 Å, 90.00 90.00 120.00°
Element x y z (fractional)
Pm  0.3398  0.1699  0.5000
Pm  0.0000  0.0000  0.2620
Pm  0.8301  0.6602  0.5000
Pm  0.8301  0.1699  0.5000
Pm  0.0000  0.0000  0.7380
Ho  0.6667  0.3333  0.1577
Ho  0.6667  0.3333  0.8423
Ho  0.3333  0.6667  0.3166
Ho  0.3333  0.6667  0.6834
Ho  0.0000  0.0000  0.0000
Er  0.3333  0.6667  0.0000


# 7
Below is a relaxed LiPrCu2 crystal, with properties calculated at the GGA-PBE level.

Output
- V (Å³ per atom) = 19.7
- VASP energy (eV/atom) = -3.68
- DFT formation energy (eV per formula unit) = 0.17
- total magnetic moment (Bohr magnetons per cell) = 0.00
- energy above the lowest structure with this stoichiometry (kJ/mol of formula units) = 58

Cell: 3.3485 4.8524 4.8524 Å, 90.00 90.00 90.00°
Element x y z (fractional)
Pr  0.5000  0.5000  0.5000
Cu  0.0000  0.0000  0.5000
Cu  0.0000  0.5000  0.0000
Li  0.5000  0.0000  0.0000


# 8
Below is a relaxed Nd2Ho9In crystal, with properties calculated at the GGA-PBE level.

Output
- V (Å³ per atom) = 30.8
- VASP energy (eV/atom) = -4.52
- DFT formation energy (eV per formula unit) = -0.71
- total magnetic moment (Bohr magnetons per cell) = 0.00

Cell: 4.9491 4.9491 15.0676 Å, 90.00 90.00 90.00°
Element x y z (fractional)
Nd  0.0000  0.0000  0.3325
Nd  0.0000  0.0000  0.6675
Ho  0.5000  0.5000  0.0000
Ho  0.5000  0.5000  0.3264
Ho  0.5000  0.5000  0.6736
Ho  0.5000  0.0000  0.1597
Ho  0.5000  0.0000  0.5000
Ho  0.5000  0.0000  0.8403
Ho  0.0000  0.5000  0.1597
Ho  0.0000  0.5000  0.5000
Ho  0.0000  0.5000  0.8403
In  0.0000  0.0000  0.0000


# 9
Below is a relaxed Sc2GaGe2 crystal, with properties calculated at the GGA-PBE level.

Output
- V (Å³ per atom) = 18.9
- VASP energy (eV/atom) = -5.63
- DFT formation energy (eV per formula unit) = -3.23
- total magnetic moment (Bohr magnetons per cell) = 0.00
- energy above the lowest structure with this stoichiometry (kJ/mol of formula units) = 0

Cell: 3.8907 5.3903 5.3906 Å, 68.55 68.86 68.86°
Element x y z (fractional)
Sc  0.2823  0.2176  0.7177
Sc  0.7177  0.7824  0.2823
Ga  0.5000  0.5000  0.0000
Ge  0.0000  0.2085  0.2915
Ge  0.0000  0.7915  0.7085


# 10
Below is a relaxed NbZn3Ga3 crystal, with properties calculated at the GGA-PBE level.

Output
- V (Å³ per atom) = 17.3
- VASP energy (eV/atom) = -3.47
- DFT formation energy (eV per formula unit) = -1.31
- total magnetic moment (Bohr magnetons per cell) = 0.00

Cell: 5.6326 5.6326 5.6326 Å, 58.09 58.09 58.09°
Element x y z (fractional)
Nb  0.0000  0.0000  0.0000
Zn  0.0000  0.0000  0.5000
Zn  0.5000  0.0000  0.0000
Zn  0.0000  0.5000  0.0000
Ga  0.5000  0.5000  0.0000
Ga  0.0000  0.5000  0.5000
Ga  0.5000  0.0000  0.5000


# 11
Below is a relaxed TlNiHg2Se crystal, with properties calculated at the GGA-PBE level.

Output
- V (Å³ per atom) = 25.4
- formation energy (no corrections) (eV per atom) = -0.017
- VASP energy (eV/atom) = -2.46
- total magnetic moment (Bohr magnetons per cell) = 0.23

Cell: 5.1454 5.1454 4.8020 Å, 90.00 90.00 90.00°
Each line ends with the local moment (μB).
Element x y z (fractional)
Ni  0.0000  0.0000  0.0000  0.16
Tl  0.5000  0.5000  0.5000  0.00
Hg  0.0000  0.5000  0.0000  0.01
Hg  0.5000  0.0000  0.0000  0.01
Se  0.0000  0.0000  0.5000  0.04


# 12
Below is a relaxed AcCe2Rh crystal, with properties calculated at the GGA-PBE level.

Output
- V (Å³ per atom) = 31.8
- VASP energy (eV/atom) = -6.10
- DFT formation energy (eV per formula unit) = -1.09
- total magnetic moment (Bohr magnetons per cell) = 1.43
- energy above the lowest structure with this stoichiometry (kJ/mol of formula units) = 0

Cell: 3.9707 3.9707 9.6040 Å, 78.07 78.07 60.00°
Each line ends with the local moment (μB).
Element x y z (fractional)
Ac  0.5004  0.5004  0.4988  0.02
Ce  0.0578  0.0578  0.8266  0.61
Ce  0.2756  0.2756  0.1732  0.56
Rh  0.6662  0.6662  0.0014  -0.06